## Tm5In2Bi (GGA-PBE)

Data for an optimized crystal structure of Tm5In2Bi.

Unit cell a=8.346 b=8.346 c=8.719 alpha=118.59 beta=118.59 gamma=90.00
Positions (direct):
Tm 0.501 0.699 0.700
Tm 0.801 0.999 0.300
Tm 0.000 0.000 0.000
Tm 0.500 0.500 0.000
Tm 0.199 0.001 0.700
Tm 0.699 0.199 0.700
Tm 0.001 0.501 0.700
Tm 0.301 0.801 0.300
Tm 0.999 0.499 0.300
Tm 0.499 0.301 0.300
In 0.148 0.352 0.000
In 0.648 0.148 0.000
In 0.352 0.852 0.000
In 0.852 0.648 0.000
Bi 0.750 0.750 0.500
Bi 0.250 0.250 0.500

Calculated values
Its formation energy is -0.437 eV/atom. The calculation puts the mass density at 9.53 Mg/m³. The density of states at the Fermi level comes out at 15.0 states/eV per cell. The space-group type is I4/mcm, No. 140. Its volume is 27.94 A^3/atom.

## TmInBi2 (GGA-PBE)

Data for an optimized crystal structure of TmInBi2.

Unit cell a=4.381 b=4.381 c=8.102 alpha=74.32 beta=74.32 gamma=60.00
Positions (direct):
Tm 0.000 0.000 0.000
Bi 0.251 0.251 0.248
Bi 0.749 0.749 0.752
In 0.500 0.500 0.500

Calculated values
Its formation energy is -0.194 eV/atom. The calculation puts the mass density at 9.11 Mg/m³. The density of states at the Fermi level comes out at 2.5 states/eV per cell. The space-group type is R-3m, No. 166. Its volume is 31.98 A^3/atom. For the energy relative to the lowest polymorph listed for this composition, the calculation gives 142 meV/atom.

## TmIn2Bi (GGA-PBE)

Data for an optimized crystal structure of TmIn2Bi.

Unit cell a=3.459 b=3.459 c=12.116 alpha=81.79 beta=81.79 gamma=60.00
Positions (direct):
Tm 0.000 0.000 0.000
Bi 0.500 0.500 0.500
In 0.088 0.088 0.736
In 0.912 0.912 0.264

Calculated values
Its formation energy is 0.143 eV/atom. The calculation puts the mass density at 8.15 Mg/m³. The density of states at the Fermi level comes out at 3.3 states/eV per cell. The space-group type is R-3m, No. 166. Its volume is 30.97 A^3/atom.

## Tm2InBi (GGA-PBE)

Data for an optimized crystal structure of Tm2InBi.

Unit cell a=4.120 b=4.120 c=8.648 alpha=76.22 beta=76.22 gamma=60.00
Positions (direct):
Tm 0.078 0.078 0.766
Tm 0.255 0.255 0.235
In 0.499 0.499 0.502
Bi 0.668 0.668 0.997

Calculated values
Its formation energy is -0.365 eV/atom. The calculation puts the mass density at 8.99 Mg/m³. The density of states at the Fermi level comes out at 1.7 states/eV per cell. The space-group type is R3m, No. 160. Its volume is 30.56 A^3/atom. For the energy relative to the lowest polymorph listed for this composition, the calculation gives 96 meV/atom.